(1)
Density functional theory data (PBE-GGA) for an optimized crystal structure of Rb2SrBrF.

Lattice parameters (Å, degrees): 8.0231 8.0231 5.7913 90.00 90.00 90.00
Fractional coordinates of all 5 atoms:
Rb: 0.0000 0.5000 0.0000
Rb: 0.5000 0.0000 0.0000
Sr: 0.0000 0.0000 0.0000
Br: 0.0000 0.0000 0.5000
F: 0.5000 0.5000 0.5000

(2)
Density functional theory data (PBE-GGA) for an optimized crystal structure of RbSrBr2F.

Lattice parameters (Å, degrees): 6.1326 6.1326 4.6608 90.00 90.00 90.00
Fractional coordinates of all 5 atoms:
Rb: 0.0000 0.0000 0.0000
Sr: 0.5000 0.5000 0.5000
Br: 0.0000 0.5000 0.5000
Br: 0.5000 0.0000 0.5000
F: 0.5000 0.5000 0.0000

Calculated ΔE_f (raw) (meV/atom), listed in the same order as above: -886 -2451
Calculated Fermi-level density of states (states/eV/atom), listed in the same order as above: 0.000 0.000